# 1
PBE K2TlPt, optimized geometry; DFT formation energy = 0.157 eV per atom
1.0
-5.2569 -1.2493 -1.4408
-4.1819 0.9389 3.5919
-3.6748 4.0959 -0.9960
Pt Tl K
1 1 2
direct
0.0000 0.0000 0.0000
0.5000 0.5000 0.5000
0.7500 0.7500 0.7500
0.2500 0.2500 0.2500

=====

# 2
PBE Ta2BeW, optimized geometry; DFT formation energy = 0.054 eV per atom
1.0
3.2314 0.0000 0.0000
0.0000 3.2314 0.0000
0.0000 0.0000 5.9412
Ta W Be
2 1 1
direct
0.5000 0.5000 0.2614
0.0000 0.0000 0.9705
0.0000 0.0000 0.5332
0.5000 0.5000 0.7349

=====

# 3
PBE AlTl2Ni, optimized geometry; DFT formation energy = 0.436 eV per atom
1.0
0.0000 3.4607 3.4607
3.4607 0.0000 3.4607
3.4607 3.4607 0.0000
Tl Al Ni
2 1 1
direct
0.7500 0.7500 0.7500
0.2500 0.2500 0.2500
0.0000 0.0000 0.0000
0.5000 0.5000 0.5000

=====

# 4
PBE InPIr, optimized geometry; DFT formation energy = -0.271 eV per atom
1.0
5.9276 0.0000 0.0000
0.0000 6.5148 -0.4084
0.0000 -2.1567 6.3363
Ir In P
4 4 4
direct
0.9600 0.6831 0.6930
0.5400 0.6831 0.1930
0.0400 0.3169 0.3070
0.4600 0.3169 0.8070
0.3796 0.8570 0.6226
0.8796 0.1430 0.8774
0.1204 0.8570 0.1226
0.6204 0.1430 0.3774
0.3727 0.3496 0.1546
0.6273 0.6504 0.8454
0.1273 0.3496 0.6546
0.8727 0.6504 0.3454

=====

# 5
PBE PbBrCl2, optimized geometry; formation energy from raw total energies = -0.584 eV per atom
1.0
9.6857 0.0000 0.0000
0.0000 9.6857 0.0000
4.8429 4.8429 2.8941
Cl Br Pb
4 2 2
direct
0.3750 0.2490 0.7500
0.9990 0.6250 0.2500
0.8750 0.0010 0.7500
0.7510 0.1250 0.2500
0.2500 0.7500 0.5000
0.5000 0.5000 0.0000
0.7500 0.2500 0.5000
0.0000 0.0000 0.0000

=====

# 6
PBE SrOsSe2Br, optimized geometry; formation energy from raw total energies = -0.372 eV per atom
1.0
-3.6251 -3.0862 -1.3457
2.1307 -3.6341 2.5943
-2.7919 1.4152 4.2754
Se Os Br Sr
2 1 1 1
direct
0.5000 0.0000 0.0000
0.0000 0.5000 0.0000
0.0000 0.0000 0.0000
0.0000 0.0000 0.5000
0.5000 0.5000 0.5000